Entry 1:
Sc2PtW | PBE | relaxed

The structure belongs to space group R-3m (No. 166, hexagonal axes); the cell edges are 3.0044, 3.0044 and 29.2037 Å and the angles 90.00°, 90.00° and 120.00°. The distinct sites, in fractional coordinates, are Sc at (0.0000, 0.0000, 0.0876), Pt at (0.0000, 0.0000, 0.0000) and W at (0.0000, 0.0000, 0.5000).

The formation energy is 0.1402 eV/atom. For the total magnetization, the calculation gives 0.000 μB/f.u.

---

Entry 2:
LaMnAg2 | PBE | relaxed

The structure belongs to space group Pmmm (No. 47); the cell edges are 3.380, 3.453 and 7.443 Å and the angles 90.00°, 90.00° and 90.00°. The distinct sites, in fractional coordinates, are La at (0.000, 0.000, 0.000), Mn at (0.000, 0.000, 0.500) and Ag at (0.500, 0.500, 0.304).

The formation energy is 0.0693 eV/atom. For the total magnetization, the calculation gives 4.229 μB/f.u.

---

Entry 3:
ReHg2Sb | PBE | relaxed

The structure belongs to space group Pm (No. 6); the cell edges are 3.147, 3.184 and 9.330 Å and the angles 90.00°, 95.44° and 90.00°. The distinct sites, in fractional coordinates, are Re at (0.000, 0.000, 0.000), Hg at (0.436, 0.000, 0.504), Hg at (0.442, 0.500, 0.796) and Sb at (0.549, 0.500, 0.177).

The energy is -3.834 eV per atom. For the total magnetization, the calculation gives 0.000 μB/f.u.

---

Entry 4:
Pm2Pr5Ho3 | PBE | relaxed

The structure belongs to space group Ibam (No. 72); the cell edges are 9.504, 22.250 and 6.896 Å and the angles 90.00°, 90.00° and 90.00°. The distinct sites, in fractional coordinates, are Pm at (0.097, 0.120, 0.000), Pr at (0.000, 0.246, 0.250), Pr at (0.000, 0.500, 0.250), Pr at (0.096, 0.372, 0.500), Ho at (0.000, 0.000, 0.250) and Ho at (0.246, 0.118, 0.500).

The formation energy is 0.3577 eV/atom. For the total magnetization, the calculation gives 0.000 μB/f.u.

---

Entry 5:
Tl3Ga2Hg4 | PBE | relaxed

The structure belongs to space group P-1 (No. 2); the cell edges are 4.547, 6.584 and 8.758 Å and the angles 84.22°, 89.60° and 70.11°. The distinct sites, in fractional coordinates, are Tl at (0.000, 0.000, 0.000), Tl at (0.398, 0.213, 0.281), Ga at (0.276, 0.445, 0.590), Hg at (0.077, 0.853, 0.364) and Hg at (0.307, 0.382, 0.915).

The formation energy is 0.0208 eV/atom. For the total magnetization, the calculation gives 0.000 μB/f.u.

---

Entry 6:
Mg2ScRh | PBE | relaxed

The structure belongs to space group Cmmm (No. 65); the cell edges are 5.511, 8.757 and 3.097 Å and the angles 90.00°, 90.00° and 90.00°. The distinct sites, in fractional coordinates, are Mg at (0.250, 0.250, 0.000), Sc at (0.000, 0.000, 0.500) and Rh at (0.000, 0.500, 0.500).

The formation energy is -0.1941 eV/atom. For the total magnetization, the calculation gives 0.000 μB/f.u.